# 1
{"formula": "MnCo2Os", "functional": "PBE-GGA", "state": "optimized geometry", "cell": [[-1.730, 1.730, 8.360], [1.730, -1.730, 8.360], [1.730, 1.730, -8.360]], "species": ["Mn", "Mn", "Co", "Co", "Co", "Co", "Os", "Os"], "fractional_positions": [[0.000, 0.000, 0.000], [0.750, 0.250, 0.500], [0.111, 0.625, 0.986], [0.375, 0.361, 0.486], [0.639, 0.125, 0.014], [0.875, 0.889, 0.514], [0.250, 0.750, 0.500], [0.500, 0.500, 0.000]], "vol_a3_per_fu": 50.0, "delta_e_f_mev_per_atom": 629, "final_energy_ev_per_cell": -64.19}

# 2
{"formula": "ZrBe10Ni2", "functional": "PBE-GGA", "state": "optimized geometry", "cell": [[3.827, -4.388, 0.000], [3.827, 4.388, 0.000], [0.000, 0.000, 7.450]], "species": ["Zr", "Zr", "Be", "Be", "Be", "Be", "Be", "Be", "Be", "Be", "Be", "Be", "Be", "Be", "Be", "Be", "Be", "Be", "Be", "Be", "Be", "Be", "Ni", "Ni", "Ni", "Ni"], "fractional_positions": [[0.117, 0.883, 0.750], [0.883, 0.117, 0.250], [0.128, 0.380, 0.750], [0.169, 0.831, 0.106], [0.169, 0.831, 0.394], [0.234, 0.234, 0.000], [0.234, 0.234, 0.500], [0.237, 0.473, 0.250], [0.380, 0.128, 0.250], [0.385, 0.615, 0.562], [0.385, 0.615, 0.938], [0.473, 0.237, 0.750], [0.527, 0.763, 0.250], [0.615, 0.385, 0.062], [0.615, 0.385, 0.438], [0.620, 0.872, 0.750], [0.763, 0.527, 0.750], [0.766, 0.766, 0.000], [0.766, 0.766, 0.500], [0.831, 0.169, 0.606], [0.831, 0.169, 0.894], [0.872, 0.620, 0.250], [0.000, 0.500, 0.000], [0.000, 0.500, 0.500], [0.500, 0.000, 0.000], [0.500, 0.000, 0.500]], "vol_a3_per_fu": 125.1, "delta_e_f_mev_per_atom": -257, "final_energy_ev_per_cell": -121.42}

# 3
{"formula": "Ac3SnN4", "functional": "PBE-GGA", "state": "optimized geometry", "cell": [[7.720, 0.000, 0.000], [0.000, 10.740, 0.000], [0.000, 0.000, 7.804]], "species": ["Ac", "Ac", "Ac", "Ac", "Ac", "Ac", "Ac", "Ac", "Ac", "Ac", "Ac", "Ac", "Sn", "Sn", "Sn", "Sn", "N", "N", "N", "N", "N", "N", "N", "N", "N", "N", "N", "N", "N", "N", "N", "N"], "fractional_positions": [[0.000, 0.000, 0.248], [0.000, 0.000, 0.752], [0.000, 0.500, 0.248], [0.000, 0.500, 0.752], [0.250, 0.250, 0.001], [0.250, 0.750, 0.501], [0.500, 0.000, 0.252], [0.500, 0.000, 0.748], [0.500, 0.500, 0.252], [0.500, 0.500, 0.748], [0.750, 0.250, 0.499], [0.750, 0.750, 0.999], [0.217, 0.250, 0.500], [0.283, 0.750, 0.000], [0.717, 0.250, 0.000], [0.783, 0.750, 0.500], [0.048, 0.250, 0.285], [0.049, 0.250, 0.715], [0.249, 0.015, 0.000], [0.249, 0.485, 0.000], [0.251, 0.515, 0.500], [0.251, 0.985, 0.500], [0.451, 0.750, 0.215], [0.452, 0.750, 0.785], [0.548, 0.250, 0.215], [0.549, 0.250, 0.785], [0.749, 0.015, 0.500], [0.749, 0.485, 0.500], [0.751, 0.515, 0.000], [0.751, 0.985, 0.000], [0.951, 0.750, 0.285], [0.952, 0.750, 0.715]], "formation_energy_uncorrected_ev_per_atom": -0.7266, "vol_a3_per_fu": 161.8, "final_energy_ev_per_cell": -221.77}